This record from Alexandria describes a PBEsol-optimized structure of Na3Li3In2F12. The functional is meta-GGA SCAN.

The structure in extended XYZ format:
```
80
Lattice="10.958 0.000 0.000 -3.653 10.331 0.000 -3.653 -5.166 8.947" Properties=species:S:1:pos:R:3 pbc="T T T"
F 2.763 4.283 5.230
Na 4.566 8.394 1.118
Na 4.566 0.646 5.592
F -3.157 4.595 4.256
F -0.936 6.048 5.230
F 0.496 6.554 2.840
F 6.014 -3.785 8.070
F 1.291 1.450 0.757
F 6.809 0.571 4.691
Na 2.739 0.000 2.237
F -1.921 2.202 3.379
Li 2.739 -1.937 7.829
In 3.653 -2.583 4.474
F 1.732 6.991 5.350
F 3.117 -3.716 8.190
F 4.543 1.506 7.853
F -2.322 5.983 1.851
Li 4.566 4.520 5.592
Li 6.392 -2.583 6.710
In 0.000 0.000 0.000
F 4.589 -0.882 3.717
F 0.936 -1.506 7.853
In 5.479 0.000 0.000
Na 0.913 -0.646 5.592
F 6.415 7.554 2.622
F 0.535 8.881 0.757
F 6.770 -0.069 1.634
Li -2.739 5.811 5.592
F 1.331 3.777 2.840
F 2.361 3.716 8.190
Na -0.913 4.520 3.355
F 5.573 2.964 5.568
Li 0.913 7.103 1.118
F -2.763 -2.388 6.325
F -1.331 -0.571 4.691
F -2.716 2.388 6.325
In 1.826 2.583 4.474
F 1.921 -1.826 3.597
F -0.496 0.818 7.096
F 4.148 4.348 1.851
F 4.983 5.736 4.256
F 0.095 3.340 5.350
Li -0.913 2.583 6.710
F 6.369 2.778 2.622
Na -0.913 -3.228 7.829
F 3.747 8.129 3.379
F -6.014 5.096 7.313
Li 2.739 1.937 7.829
F -0.095 -2.964 5.568
F -3.117 5.235 7.313
F 5.975 -0.818 7.096
Na -4.566 3.228 7.829
F -3.747 1.138 8.730
F 4.188 1.380 0.877
Li -0.913 0.646 3.355
F -0.890 3.660 1.094
F -1.732 -1.138 8.730
Na 0.913 5.166 6.710
F 3.558 1.826 3.597
Li 0.913 3.228 1.118
F 2.716 6.671 1.094
Li 6.392 -0.646 3.355
F -2.361 8.951 0.877
Na -2.739 0.000 6.710
Li 4.566 2.583 2.237
In -1.826 -2.583 4.474
Na 2.739 5.811 3.355
In -1.826 5.166 0.000
F 9.667 0.069 1.634
F 3.157 -1.389 6.107
Na 8.218 1.937 1.118
Li -2.739 7.748 2.237
Na 6.392 5.166 2.237
F -0.535 3.785 8.070
F 7.400 4.028 0.217
In -3.653 2.583 4.474
F 5.384 6.304 0.217
F 0.890 0.882 3.717
In 3.653 5.166 0.000
F 2.322 1.389 6.107
```

## Properties
* raw formation energy: -2.941 eV/atom